i) Material: Ca2P2Ir
Method: DFT, PBE
State: relaxed

Cell and atoms, written as POSCAR:
```
Ca2P2Ir
1.0
5.476 -1.964 0.000
5.476 1.964 0.000
-3.730 0.000 9.817
Ca P Ir
4 4 2
Direct
0.092 0.092 0.404 Ca
0.301 0.301 0.856 Ca
0.699 0.699 0.144 Ca
0.908 0.908 0.596 Ca
0.035 0.035 0.912 P
0.350 0.350 0.359 P
0.650 0.650 0.641 P
0.965 0.965 0.088 P
0.430 0.430 0.181 Ir
0.570 0.570 0.819 Ir
```



ii) Material: Ca2P2Ir
Method: DFT, PBE
State: relaxed

Cell and atoms, written as POSCAR:
```
Ca2P2Ir
1.0
6.383 0.000 0.000
0.000 6.383 0.000
0.000 0.000 4.484
Ca P Ir
4 4 2
Direct
0.175 0.325 0.000 Ca
0.325 0.825 0.000 Ca
0.675 0.175 0.000 Ca
0.825 0.675 0.000 Ca
0.135 0.635 0.500 P
0.365 0.135 0.500 P
0.635 0.865 0.500 P
0.865 0.365 0.500 P
0.000 0.000 0.500 Ir
0.500 0.500 0.500 Ir
```



Most favorable structure: i). The second most favorable one is 105 meV/atom above it.



i) Material: CaIr2Pd
Method: DFT, PBE
State: relaxed

Cell and atoms, written as POSCAR:
```
CaIr2Pd
1.0
-2.154 2.154 9.414
2.154 -2.154 9.414
2.154 2.154 -9.414
Ca Ir Pd
2 4 2
Direct
0.000 0.000 0.000 Ca
0.750 0.250 0.500 Ca
0.256 0.625 0.131 Ir
0.375 0.506 0.631 Ir
0.494 0.125 0.869 Ir
0.875 0.744 0.369 Ir
0.250 0.750 0.500 Pd
0.500 0.500 0.000 Pd
```



ii) Material: CaIr2Pd
Method: DFT, PBE
State: relaxed

Cell and atoms, written as POSCAR:
```
CaIr2Pd
1.0
0.000 3.242 3.242
3.242 0.000 3.242
3.242 3.242 0.000
Ca Ir Pd
1 2 1
Direct
0.000 0.000 0.000 Ca
0.250 0.250 0.250 Ir
0.750 0.750 0.750 Ir
0.500 0.500 0.500 Pd
```



Most favorable structure: i). The second most favorable one is 124 meV/atom above it.



i) Material: CaIrPd3
Method: DFT, PBE
State: relaxed

Cell and atoms, written as POSCAR:
```
CaIrPd3
1.0
4.741 0.000 0.000
0.000 4.741 0.000
0.000 0.000 4.741
Ca Ir Pd
1 1 3
Direct
0.000 0.000 0.000 Ca
0.500 0.500 0.500 Ir
0.000 0.000 0.500 Pd
0.000 0.500 0.000 Pd
0.500 0.000 0.000 Pd
```



ii) Material: CaIrPd3
Method: DFT, PBE
State: relaxed

Cell and atoms, written as POSCAR:
```
CaIrPd3
1.0
4.894 0.000 0.000
0.000 4.894 0.000
0.000 0.000 4.894
Ca Ir Pd
1 1 3
Direct
0.000 0.000 0.000 Ca
0.500 0.500 0.500 Ir
0.000 0.500 0.500 Pd
0.500 0.000 0.500 Pd
0.500 0.500 0.000 Pd
```



Most favorable structure: ii). The second most favorable one is 954 meV/atom above it.



i) Material: CaThIrPd
Method: DFT, PBE
State: relaxed

Cell and atoms, written as POSCAR:
```
CaThIrPd
1.0
4.194 0.000 0.000
0.000 1.973 5.650
0.000 -1.973 5.650
Ca Th Ir Pd
1 1 1 1
Direct
0.000 0.000 0.000 Ca
0.500 0.723 0.723 Th
0.000 0.267 0.267 Ir
0.500 0.441 0.441 Pd
```



ii) Material: CaThIrPd
Method: DFT, PBE
State: relaxed

Cell and atoms, written as POSCAR:
```
CaThIrPd
1.0
0.000 3.535 3.535
3.535 0.000 3.535
3.535 3.535 0.000
Ca Th Ir Pd
1 1 1 1
Direct
0.000 0.000 0.000 Ca
0.500 0.500 0.500 Th
0.750 0.750 0.750 Ir
0.250 0.250 0.250 Pd
```



Most favorable structure: i). The second most favorable one is 100 meV/atom above it.



i) Material: CaYIrPd
Method: DFT, PBE
State: relaxed

Cell and atoms, written as POSCAR:
```
CaYIrPd
1.0
0.000 3.463 3.463
3.463 0.000 3.463
3.463 3.463 0.000
Ca Y Ir Pd
1 1 1 1
Direct
0.000 0.000 0.000 Ca
0.500 0.500 0.500 Y
0.750 0.750 0.750 Ir
0.250 0.250 0.250 Pd
```



ii) Material: CaYIrPd
Method: DFT, PBE
State: relaxed

Cell and atoms, written as POSCAR:
```
CaYIrPd
1.0
3.419 0.000 0.000
0.000 3.419 0.000
0.000 0.000 7.215
Ca Y Ir Pd
1 1 1 1
Direct
0.000 0.000 0.000 Ca
0.000 0.000 0.485 Y
0.500 0.500 0.259 Ir
0.500 0.500 0.730 Pd
```



Most favorable structure: i). The second most favorable one is 5 meV/atom above it.



i) Material: CaPmIr
Method: DFT, PBE
State: relaxed

Cell and atoms, written as POSCAR:
```
CaPmIr
1.0
7.837 0.000 0.000
0.000 4.541 0.000
0.000 0.000 8.879
Ca Pm Ir
4 4 4
Direct
0.022 0.250 0.166 Ca
0.478 0.750 0.666 Ca
0.522 0.250 0.334 Ca
0.978 0.750 0.834 Ca
0.149 0.250 0.573 Pm
0.351 0.750 0.073 Pm
0.649 0.250 0.927 Pm
0.851 0.750 0.427 Pm
0.222 0.750 0.386 Ir
0.278 0.250 0.886 Ir
0.722 0.750 0.114 Ir
0.778 0.250 0.614 Ir
```



ii) Material: CaPmIr
Method: DFT, PBE
State: relaxed

Cell and atoms, written as POSCAR:
```
CaPmIr
1.0
-1.755 1.755 6.694
1.755 -1.755 6.694
1.755 1.755 -6.694
Ca Pm Ir
1 1 1
Direct
0.000 0.000 0.000 Ca
0.251 0.251 0.000 Pm
0.636 0.636 0.000 Ir
```



Most favorable structure: i). The second most favorable one is 98 meV/atom above it.